VASP calculation (PBE-GGA) on a geometry-optimized GeBi3Sb structure.

a b c (Å): 5.5177 5.5177 5.5177
angles (deg): 90.00 90.00 90.00
With the nearest neighbours (Å) after each atom.
Space group Pm-3m (No. 221)
Asymmetric unit:
Ge: 0.0000 0.0000 0.0000 x1  6 Bi 2.76
Bi: 0.0000 0.0000 0.5000 x3  2 Ge 2.76
Sb: 0.5000 0.5000 0.5000 x1  12 Bi 3.90

M_tot: 0.0 μB/f.u.
Uncorrected formation energy: 0.6073 eV/atom


VASP calculation (PBE-GGA) on a geometry-optimized PrDy2Sb structure.

a b c (Å): 3.9924 3.9924 7.4711
angles (deg): 90.00 90.00 90.00
With the nearest neighbours (Å) after each atom.
Space group P4/mmm (No. 123)
Asymmetric unit:
Pr: 0.0000 0.0000 0.0000 x1  8 Dy 3.53, 2 Sb 3.74
Dy: 0.5000 0.5000 0.2846 x2  1 Dy 3.22, 4 Sb 3.25, 4 Pr 3.53
Sb: 0.0000 0.0000 0.5000 x1  8 Dy 3.25

M_tot: 0.0 μB/f.u.
Uncorrected formation energy: -0.4777 eV/atom


VASP calculation (PBE-GGA) on a geometry-optimized TaTiOsPdPb structure.

a b c (Å): 3.0739 3.0739 19.1809
angles (deg): 90.00 90.00 90.00
With the nearest neighbours (Å) after each atom.
Space group I4mm (No. 107)
Asymmetric unit:
Ta: 0.0000 0.0000 0.0000 x2  4 Os 2.76, 4 Pd 2.81, 4 Ta 3.07
Ti: 0.0000 0.0000 0.8309 x2  4 Os 2.67
Os: 0.0000 0.0000 0.4115 x2  4 Ti 2.67, 4 Ta 2.76
Pd: 0.0000 0.0000 0.5932 x2  4 Ta 2.81, 4 Pd 3.07, 4 Pb 3.11
Pb: 0.0000 0.0000 0.2090 x2  4 Pb 3.07, 4 Pd 3.11, 4 Ti 3.19

M_tot: 0.0 μB/f.u.
ΔE_f: -0.20 eV/atom


VASP calculation (PBE-GGA) on a geometry-optimized KPr2PbS4 structure.

a b c (Å): 8.3540 8.6301 11.9598
angles (deg): 90.00 90.00 90.00
With the nearest neighbours (Å) after each atom.
Space group Imma (No. 74)
Asymmetric unit:
K: 0.2500 0.2500 0.2500 x4  6 S 3.09-3.14
Pr: 0.0000 0.0000 0.0000 x4  6 S 2.92-2.95
Pr: 0.2500 0.2500 0.7500 x4  6 S 2.88-2.89
Pb: 0.0000 0.0000 0.5000 x4  6 S 3.05-3.07
S: 0.0000 0.0208 0.7565 x8  3 Pr 2.88-2.92, 1 Pb 3.07, 2 K 3.14
S: 0.2414 0.2500 0.9916 x8  3 Pr 2.89-2.95, 2 Pb 3.05, 1 K 3.09

M_tot: 0.0 μB/f.u.
Uncorrected formation energy: -1.4959 eV/atom


VASP calculation (PBE-GGA) on a geometry-optimized AcLa5Tl3 structure.

a b c (Å): 9.8491 9.8491 7.2039
angles (deg): 90.00 90.00 120.00
With the nearest neighbours (Å) after each atom.
Space group P6_3/mcm (No. 193)
Asymmetric unit:
Ac: 0.0000 0.0000 0.0000 x2  2 Ac 3.60, 6 Tl 3.75, 6 La 3.78
La: 0.0000 0.3376 0.2500 x6  5 Tl 3.24-3.60
La: 0.3333 0.6667 0.0000 x4  8 La 3.60-3.73, 6 Tl 3.74
Tl: 0.0000 0.3336 0.7500 x6  5 La 3.24-3.60

M_tot: 0.9 μB/f.u.
ΔE_f: -0.28 eV/atom


VASP calculation (PBE-GGA) on a geometry-optimized Ca4SmSe5 structure.

a b c (Å): 9.3931 9.3931 5.9338
angles (deg): 90.00 90.00 90.00
With the nearest neighbours (Å) after each atom.
Space group I4/m (No. 87)
Asymmetric unit:
Ca: 0.0998 0.3006 0.0000 x8  6 Se 2.97-2.98
Sm: 0.0000 0.0000 0.5000 x2  6 Se 2.96-2.97
Se: 0.0000 0.0000 0.0000 x2  2 Sm 2.97, 4 Ca 2.98
Se: 0.1002 0.2991 0.5000 x8  1 Sm 2.96, 5 Ca 2.97

M_tot: 0.0 μB/f.u.
Uncorrected formation energy: -1.9655 eV/atom